Here is a relaxed structure of HfTiSe2O from Alexandria via LeMat-Bulk. Energies are from PBE.

Computed properties:
Electronic total energy: -27.96 eV per cell
Magnetic moment: 0.00 μB per cell
Symmetry: P4/mmm
Raw formation energy: 0.36 eV/atom

a = 4.602 Å, b = 5.391 Å, c = 4.602 Å
α = 90.00°, β = 90.00°, γ = 90.00°
Atoms (fractional coordinates):
Hf (0.000, 0.500, 0.000)
O (0.500, 0.500, 0.500)
Se (0.000, 0.000, 0.500)
Se (0.500, 0.000, 0.000)
Ti (0.000, 0.000, 0.000)